Below is crystalline TlGaHg at its relaxed geometry, with properties calculated at the PBE level. Values from VASP.

## Properties
E_form	0.26	eV/atom
SG	No. 194
total magnetic moment	0.00	μB/atom
density of states at the Fermi level	4.43	states/eV per cell

Structure (Quantum ESPRESSO input):
```
&SYSTEM
  ibrav = 0, nat = 6, ntyp = 3
/
ATOMIC_SPECIES
Tl 204.38 Tl.upf
Ga 69.72 Ga.upf
Hg 200.59 Hg.upf
ATOMIC_POSITIONS angstrom
Tl 0.000 0.000 0.000
Tl 0.000 0.000 5.659
Ga 0.000 0.000 2.830
Ga 0.000 0.000 8.489
Hg 0.000 2.666 2.830
Hg 2.308 1.333 8.489
CELL_PARAMETERS angstrom
4.617 0.000 0.000
-2.308 3.998 0.000
0.000 0.000 11.318
```



Below is crystalline Tb3Bi2Te at its relaxed geometry, with properties calculated at the PBE level. Values from VASP.

## Properties
ΔE to the lowest computed polymorph	0.00	eV per formula unit
SG	No. 59
total magnetic moment	0.00	μB/atom
formation energy (no corrections)	-6.29	eV/f.u.
density of states at the Fermi level	4.80	states/eV per cell

Structure (Quantum ESPRESSO input):
```
&SYSTEM
  ibrav = 0, nat = 12, ntyp = 3
/
ATOMIC_SPECIES
Tb 158.93 Tb.upf
Bi 208.98 Bi.upf
Te 127.60 Te.upf
ATOMIC_POSITIONS angstrom
Tb 1.114 1.098 1.572
Tb 1.114 5.578 1.572
Tb 1.114 10.015 1.577
Tb 3.342 3.338 4.725
Tb 3.342 7.774 4.731
Tb 3.342 12.255 4.731
Bi 1.114 1.115 4.723
Bi 1.114 5.561 4.723
Bi 3.342 7.791 1.579
Bi 3.342 12.238 1.579
Te 1.114 10.015 4.729
Te 3.342 3.338 1.574
CELL_PARAMETERS angstrom
4.457 0.000 0.000
0.000 13.353 0.000
0.000 0.000 6.302
```



Below is crystalline Sc2HgIr2 at its relaxed geometry, with properties calculated at the PBE level. Values from VASP.

## Properties
E_form	-0.67	eV/atom
ΔE to the lowest computed polymorph	0.00	eV per formula unit
SG	No. 127
total magnetic moment	0.00	μB/atom
density of states at the Fermi level	2.86	states/eV per cell

Structure (Quantum ESPRESSO input):
```
&SYSTEM
  ibrav = 0, nat = 10, ntyp = 3
/
ATOMIC_SPECIES
Sc 44.96 Sc.upf
Hg 200.59 Hg.upf
Ir 192.22 Ir.upf
ATOMIC_POSITIONS angstrom
Sc 1.203 2.645 0.000
Sc 2.645 6.493 0.000
Sc 5.051 1.203 0.000
Sc 6.493 5.051 0.000
Hg 0.000 0.000 1.566
Hg 3.848 3.848 1.566
Ir 1.066 4.914 1.566
Ir 2.782 1.066 1.566
Ir 4.914 6.631 1.566
Ir 6.631 2.782 1.566
CELL_PARAMETERS angstrom
7.696 0.000 0.000
0.000 7.696 0.000
0.000 0.000 3.132
```



Below is crystalline BaSbO2F at its relaxed geometry, with properties calculated at the PBE level. Values from VASP.

## Properties
SG	No. 123
total magnetic moment	0.00	μB/atom
formation energy (no corrections)	-10.31	eV/f.u.
density of states at the Fermi level	0.24	states/eV per cell

Structure (Quantum ESPRESSO input):
```
&SYSTEM
  ibrav = 0, nat = 5, ntyp = 4
/
ATOMIC_SPECIES
Ba 137.33 Ba.upf
Sb 121.76 Sb.upf
O 16.00 O.upf
F 19.00 F.upf
ATOMIC_POSITIONS angstrom
Ba 0.000 0.000 0.000
Sb 2.214 2.214 2.286
O 0.000 2.214 2.286
O 2.214 0.000 2.286
F 2.214 2.214 0.000
CELL_PARAMETERS angstrom
4.428 0.000 0.000
0.000 4.428 0.000
0.000 0.000 4.571
```



Below is crystalline Na3BeH4 at its relaxed geometry, with properties calculated at the PBE level. Values from VASP.

## Properties
SG	No. 44
total magnetic moment	0.09	μB/atom
final energy	-2.6967	eV per atom
density of states at the Fermi level	1.44	states/eV per cell

Structure (Quantum ESPRESSO input):
```
&SYSTEM
  ibrav = 0, nat = 8, ntyp = 3
/
ATOMIC_SPECIES
Na 22.99 Na.upf
Be 9.01 Be.upf
H 1.01 H.upf
ATOMIC_POSITIONS angstrom
Na 0.000 0.000 0.000
Na 2.733 1.830 -0.046
Na 0.000 1.717 2.706
Be 2.733 0.000 2.463
H 1.565 0.000 1.542
H 3.900 0.000 1.542
H 0.000 2.308 0.483
H 0.000 4.786 0.483
CELL_PARAMETERS angstrom
-2.733 3.547 2.753
2.733 -3.547 2.753
2.733 3.547 -2.753
```



Below is crystalline Pm2Ir3Ru at its relaxed geometry, with properties calculated at the PBE level. Values from VASP.

## Properties
E_form	-0.60	eV/atom
SG	No. 194
total magnetic moment	0.00	μB/atom
density of states at the Fermi level	12.28	states/eV per cell

Structure (Quantum ESPRESSO input):
```
&SYSTEM
  ibrav = 0, nat = 12, ntyp = 3
/
ATOMIC_SPECIES
Pm 145.00 Pm.upf
Ir 192.22 Ir.upf
Ru 101.07 Ru.upf
ATOMIC_POSITIONS angstrom
Pm 0.000 3.131 0.585
Pm 0.000 3.131 3.825
Pm 2.711 1.565 4.995
Pm 2.711 1.565 8.235
Ir 0.000 1.580 6.615
Ir -1.343 3.906 6.615
Ir 1.369 0.790 2.205
Ir 1.343 3.906 6.615
Ir 4.054 0.790 2.205
Ir 2.711 3.116 2.205
Ru 0.000 0.000 0.000
Ru 0.000 0.000 4.410
CELL_PARAMETERS angstrom
5.423 0.000 0.000
-2.711 4.696 0.000
0.000 0.000 8.820
```



no.,density (kg/m3)
1,7545
2,9053
3,12084
4,5744
5,1276
6,14310